# 1
Below is crystalline Be2NbCu at its relaxed geometry, with properties calculated at the PBE level.

The spin magnetization is 0.0 μB/f.u. The energy comes out at -5.17 eV/atom.

The space group is F-43m (No. 216) and the conventional cell measures 5.775, 5.775 and 5.775 Å, with angles of 90.00, 90.00 and 90.00 degrees. The asymmetric unit holds Be at (0.000, 0.000, 0.000), Be at (0.250, 0.250, 0.250), Nb at (0.000, 0.000, 0.500) and Cu at (0.250, 0.250, 0.750).



# 2
Below is crystalline Dy2Al5Ag5 at its relaxed geometry, with properties calculated at the PBE level.

The spin magnetization is 0.0 μB/f.u. The energy comes out at -3.83 eV/atom.

The space group is Pmmm (No. 47) and the conventional cell measures 4.426, 5.420 and 9.505 Å, with angles of 90.00, 90.00 and 90.00 degrees. The asymmetric unit holds Dy at (0.000, 0.000, 0.000), Dy at (0.000, 0.500, 0.500), Al at (0.500, 0.000, 0.500), Al at (0.500, 0.248, 0.245), Ag at (0.000, 0.000, 0.335), Ag at (0.000, 0.500, 0.180) and Ag at (0.500, 0.500, 0.000).



# 3
Below is crystalline SmMgCu4 at its relaxed geometry, with properties calculated at the PBE level.

The spin magnetization is 0.0 μB/f.u. The energy comes out at -3.74 eV/atom.

The space group is R3m (No. 160, hexagonal axes) and the conventional cell measures 5.1704, 5.1704 and 12.5902 Å, with angles of 90.00, 90.00 and 120.00 degrees. The asymmetric unit holds Sm at (0.0000, 0.0000, 0.0000), Mg at (0.0000, 0.0000, 0.7492), Cu at (0.0000, 0.0000, 0.3767) and Cu at (0.1689, 0.3378, 0.2080).



# 4
Below is crystalline La2Pr2Se3O4 at its relaxed geometry, with properties calculated at the PBE level.

The energy above the most stable polymorph in this dataset comes out at 0 kJ/mol of formula units. The spin magnetization is 0.0 μB/f.u.

The space group is Amm2 (No. 38) and the conventional cell measures 8.489, 4.068 and 13.100 Å, with angles of 90.00, 90.00 and 90.00 degrees. The asymmetric unit holds La at (0.000, 0.000, 0.000), La at (0.500, 0.000, 0.017), Pr at (0.237, 0.000, 0.685), Se at (0.000, 0.000, 0.310), Se at (0.351, 0.000, 0.355), O at (0.000, 0.000, 0.587), O at (0.244, 0.000, 0.089) and O at (0.500, 0.000, 0.616).



# 5
Below is crystalline ReNiSnPt at its relaxed geometry, with properties calculated at the PBE level.

The spin magnetization is 2.0 μB/f.u. The energy comes out at -6.68 eV/atom.

The space group is F-43m (No. 216) and the conventional cell measures 6.325, 6.325 and 6.325 Å, with angles of 90.00, 90.00 and 90.00 degrees. The asymmetric unit holds Re at (0.000, 0.000, 0.000), Ni at (0.250, 0.250, 0.750), Sn at (0.000, 0.000, 0.500) and Pt at (0.250, 0.250, 0.250).



# 6
Below is crystalline CsLuZnTe3 at its relaxed geometry, with properties calculated at the PBE level.

The energy above the most stable polymorph in this dataset comes out at 12 kJ/mol of formula units. The spin magnetization is 0.0 μB/f.u.

The space group is Pnma (No. 62) and the conventional cell measures 17.340, 4.396 and 11.725 Å, with angles of 90.00, 90.00 and 90.00 degrees. The asymmetric unit holds Cs at (0.234, 0.250, 0.037), Lu at (0.020, 0.250, 0.349), Zn at (0.016, 0.750, 0.100), Te at (0.077, 0.750, 0.881), Te at (0.091, 0.250, 0.581) and Te at (0.125, 0.750, 0.257).